one.
First-principles (PBE) data for a geometry-optimized ScCuSCl2 structure, as listed in Alexandria.

Summary:
As for the magnetization: 0.12 μB per atom. Its density of states at the Fermi level is 4.487 states/eV/f.u.

```
ScCuSCl2
1.0
-3.273 -1.869 2.623
-0.508 -3.393 -3.052
3.316 -2.571 2.307
Cu Cl Sc S
1 2 1 1
Direct
0.000 0.000 0.000
0.500 0.000 0.000
0.000 0.500 0.000
0.500 0.500 0.500
0.000 0.000 0.500
```



two.
First-principles (PBE) data for a geometry-optimized ScCuSCl2 structure, as listed in Alexandria.

Summary:
As for the magnetization: 0.03 μB per atom.

```
ScCuSCl2
1.0
-4.204 -1.463 -2.056
-1.645 -1.440 4.389
-1.966 4.576 0.765
S Cl Cu Sc
1 2 1 1
Direct
0.000 0.000 0.500
0.500 0.000 0.000
0.000 0.500 0.000
0.500 0.500 0.500
0.000 0.000 0.000
```



The energy of each structure relative to the most stable one, in meV/atom, is as follows: one 313; two 0.



one.
First-principles (PBE) data for a geometry-optimized CuTcSCl2 structure, as listed in Alexandria.

Summary:
As for the magnetization: 0.14 μB per atom. Its density of states at the Fermi level is 2.818 states/eV/f.u.

```
CuTcSCl2
1.0
-0.627 2.856 3.995
-0.193 -4.038 2.857
4.402 0.185 0.558
S Cl Cu Tc
1 2 1 1
Direct
0.000 0.000 0.500
0.000 0.500 0.000
0.500 0.000 0.000
0.500 0.500 0.500
0.000 0.000 0.000
```



two.
First-principles (PBE) data for a geometry-optimized CuTcSCl2 structure, as listed in Alexandria.

Summary:
As for the magnetization: 1.00 μB per atom. Its density of states at the Fermi level is 1.118 states/eV/f.u.

```
CuTcSCl2
1.0
-3.983 -0.375 -2.239
1.925 -2.955 -2.929
-1.276 -3.695 2.889
Cl Tc Cu S
2 1 1 1
Direct
0.500 0.000 0.000
0.000 0.500 0.000
0.500 0.500 0.500
0.000 0.000 0.000
0.000 0.000 0.500
```



The energy of each structure relative to the most stable one, in meV/atom, is as follows: one 0; two 254.



one.
First-principles (PBE) data for a geometry-optimized TiCuSCl2 structure, as listed in Alexandria.

Summary:
As for the magnetization: 0.37 μB per atom. Its density of states at the Fermi level is 7.951 states/eV/f.u.

```
TiCuSCl2
1.0
-4.185 1.032 -1.509
-1.560 -0.055 4.292
0.995 4.650 0.421
Cl Ti Cu S
2 1 1 1
Direct
0.000 0.500 0.000
0.500 0.000 0.000
0.500 0.500 0.500
0.000 0.000 0.000
0.000 0.000 0.500
```



two.
First-principles (PBE) data for a geometry-optimized TiCuSCl2 structure, as listed in Alexandria.

Summary:
As for the magnetization: 0.00 μB per atom. Its density of states at the Fermi level is 2.730 states/eV/f.u.

```
TiCuSCl2
1.0
-4.052 1.895 1.662
-1.671 -4.375 0.916
1.874 0.195 4.347
Ti Cu Cl S
1 1 2 1
Direct
0.000 0.000 0.000
0.500 0.500 0.500
0.500 0.000 0.000
0.000 0.500 0.000
0.000 0.000 0.500
```



The energy of each structure relative to the most stable one, in meV/atom, is as follows: one 430; two 0.



one.
First-principles (PBE) data for a geometry-optimized Cu4WS4Cl4 structure, as listed in Alexandria.

Summary:
As for the magnetization: 0.00 μB per atom. Its density of states at the Fermi level is 9.987 states/eV/f.u.

```
Cu4WS4Cl4
1.0
-6.964 6.964 3.062
6.964 -6.964 3.062
6.964 6.964 -3.062
S W Cu Cl
8 2 8 8
Direct
0.250 0.398 0.148
0.103 0.250 0.852
0.250 0.103 0.852
0.398 0.250 0.148
0.750 0.602 0.852
0.750 0.897 0.148
0.897 0.750 0.148
0.602 0.750 0.852
0.500 0.500 0.000
0.000 0.000 0.000
0.870 0.870 0.739
0.130 0.130 0.261
0.870 0.130 0.000
0.123 0.500 0.623
0.877 0.500 0.377
0.500 0.877 0.377
0.500 0.123 0.623
0.130 0.870 0.000
0.628 0.128 0.255
0.128 0.628 0.255
0.872 0.372 0.745
0.872 0.128 0.500
0.372 0.872 0.745
0.628 0.372 0.500
0.372 0.628 0.500
0.128 0.872 0.500
```



two.
First-principles (PBE) data for a geometry-optimized Cu4WS4Cl4 structure, as listed in Alexandria.

Summary:
As for the magnetization: 0.00 μB per atom. Its density of states at the Fermi level is 8.664 states/eV/f.u.

```
Cu4WS4Cl4
1.0
3.966 -9.190 -1.931
8.924 4.334 -2.343
2.599 -0.791 5.337
Cu Cl S W
8 8 8 2
Direct
0.737 0.994 0.057
0.342 0.342 0.071
0.994 0.737 0.057
0.263 0.006 0.943
0.411 0.589 0.500
0.589 0.411 0.500
0.658 0.658 0.929
0.006 0.263 0.943
0.572 0.839 0.123
0.523 0.292 0.269
0.292 0.523 0.269
0.161 0.428 0.877
0.708 0.477 0.731
0.477 0.708 0.731
0.839 0.572 0.123
0.428 0.161 0.877
0.860 0.860 0.315
0.853 0.147 0.753
0.860 0.860 0.797
0.853 0.147 0.247
0.140 0.140 0.685
0.147 0.853 0.247
0.140 0.140 0.203
0.147 0.853 0.753
0.000 0.000 0.000
0.000 0.000 0.500
```



The energy of each structure relative to the most stable one, in meV/atom, is as follows: one 69; two 0.